Entry 1:
First-principles (PBE) data for a geometry-optimized InCuSn3 structure, as listed in Alexandria.

CIF file:
```
data_InCuSn3
_chemical_formula_sum 'In4 Cu4 Sn12'
_cell_length_a 10.825
_cell_length_b 8.700
_cell_length_c 6.558
_cell_angle_alpha 90.00
_cell_angle_beta 125.73
_cell_angle_gamma 90.00
_space_group_name_H-M_alt 'C 1 2/m 1'
_space_group_IT_number 12
loop_
_space_group_symop_operation_xyz
'x,y,z'
'-x,-y,-z'
'-x,y,-z'
'x,-y,z'
'x+1/2,y+1/2,z'
'-x+1/2,-y+1/2,-z'
'-x+1/2,y+1/2,-z'
'x+1/2,-y+1/2,z'
loop_
_atom_site_label
_atom_site_type_symbol
_atom_site_fract_x
_atom_site_fract_y
_atom_site_fract_z
In1 In 0.046 0.000 0.271
Cu1 Cu 0.248 0.500 0.880
Sn1 Sn 0.049 0.500 0.308
Sn2 Sn 0.231 0.205 0.750
```

## Properties
The excess energy over the best structure of this formula in the dataset is 0.0 meV per atom. For the total magnetization, the calculation gives 0.000 μB per atom.

Entry 2:
First-principles (PBE) data for a geometry-optimized In3CuSn structure, as listed in Alexandria.

CIF file:
```
data_In3CuSn
_chemical_formula_sum 'In12 Cu4 Sn4'
_cell_length_a 18.433
_cell_length_b 3.817
_cell_length_c 7.088
_cell_angle_alpha 90.00
_cell_angle_beta 99.72
_cell_angle_gamma 90.00
_space_group_name_H-M_alt 'C 1 2/m 1'
_space_group_IT_number 12
loop_
_space_group_symop_operation_xyz
'x,y,z'
'-x,-y,-z'
'-x,y,-z'
'x,-y,z'
'x+1/2,y+1/2,z'
'-x+1/2,-y+1/2,-z'
'-x+1/2,y+1/2,-z'
'x+1/2,-y+1/2,z'
loop_
_atom_site_label
_atom_site_type_symbol
_atom_site_fract_x
_atom_site_fract_y
_atom_site_fract_z
In1 In 0.099 0.000 0.100
In2 In 0.172 0.500 0.459
In3 In 0.213 0.000 0.823
Cu1 Cu 0.063 0.000 0.459
Sn1 Sn 0.037 0.500 0.734
```

## Properties
The excess energy over the best structure of this formula in the dataset is 0.0 meV per atom. For the total magnetization, the calculation gives 0.000 μB per atom.

Entry 3:
First-principles (PBE) data for a geometry-optimized InCuSn4 structure, as listed in Alexandria.

CIF file:
```
data_InCuSn4
_chemical_formula_sum 'In4 Cu4 Sn16'
_cell_length_a 9.882
_cell_length_b 11.343
_cell_length_c 5.572
_cell_angle_alpha 90.00
_cell_angle_beta 100.73
_cell_angle_gamma 90.00
_space_group_name_H-M_alt 'C 1 2/c 1'
_space_group_IT_number 15
loop_
_space_group_symop_operation_xyz
'x,y,z'
'-x,-y,-z'
'-x,y,-z+1/2'
'x,-y,z+1/2'
'x+1/2,y+1/2,z'
'-x+1/2,-y+1/2,-z'
'-x+1/2,y+1/2,-z+1/2'
'x+1/2,-y+1/2,z+1/2'
loop_
_atom_site_label
_atom_site_type_symbol
_atom_site_fract_x
_atom_site_fract_y
_atom_site_fract_z
In1 In 0.000 0.072 0.250
Cu1 Cu 0.000 0.489 0.250
Sn1 Sn 0.102 0.300 0.552
Sn2 Sn 0.235 0.410 0.076
```

## Properties
For the electronic total energy, the calculation gives -3.75 eV per atom. For the total magnetization, the calculation gives 0.000 μB per atom.

Entry 4:
First-principles (PBE) data for a geometry-optimized InCu2Sn2 structure, as listed in Alexandria.

CIF file:
```
data_InCu2Sn2
_chemical_formula_sum 'In2 Cu4 Sn4'
_cell_length_a 8.338
_cell_length_b 8.338
_cell_length_c 3.036
_cell_angle_alpha 90.00
_cell_angle_beta 90.00
_cell_angle_gamma 90.00
_space_group_name_H-M_alt 'P 4/m b m'
_space_group_IT_number 127
_space_group_name_Hall '-P 4 2ab'
loop_
_atom_site_label
_atom_site_type_symbol
_atom_site_fract_x
_atom_site_fract_y
_atom_site_fract_z
In1 In 0.000 0.000 0.000
Cu1 Cu 0.149 0.351 0.500
Sn1 Sn 0.144 0.644 0.000
```

## Properties
For the electronic total energy, the calculation gives -3.59 eV per atom. For the total magnetization, the calculation gives 0.000 μB per atom.